*1*
DFT (PBE) results for a relaxed structure of Ca3SnHg4.

CIF file:
```
data_Ca3SnHg4
_cell_length_a 3.852
_cell_length_b 8.076
_cell_length_c 14.811
_cell_angle_alpha 90.00
_cell_angle_beta 90.00
_cell_angle_gamma 90.00
_symmetry_space_group_name_H-M 'I m m m'
_symmetry_Int_Tables_number 71
_symmetry_space_group_name_Hall '-I 2 2'
loop_
_atom_site_label
_atom_site_type_symbol
_atom_site_fract_x
_atom_site_fract_y
_atom_site_fract_z
Ca1 Ca 0.000 0.000 0.000
Ca2 Ca 0.000 0.500 0.178
Sn1 Sn 0.000 0.000 0.500
Hg1 Hg 0.000 0.307 0.359
```

Properties
calculated density: 7506 kg/m³
total magnetization: 0.00 μB/f.u.
volume: 28.8 A^3/atom

*2*
DFT (PBE) results for a relaxed structure of Ca3SnHg4.

CIF file:
```
data_Ca3SnHg4
_cell_length_a 10.238
_cell_length_b 8.036
_cell_length_c 5.117
_cell_angle_alpha 90.00
_cell_angle_beta 90.00
_cell_angle_gamma 90.00
_symmetry_space_group_name_H-M 'P m m a'
_symmetry_Int_Tables_number 51
loop_
_symmetry_equiv_pos_as_xyz
'x,y,z'
'-x,-y,-z'
'-x+1/2,-y,z'
'x+1/2,y,-z'
'x+1/2,-y,-z'
'-x+1/2,y,z'
'-x,y,-z'
'x,-y,z'
loop_
_atom_site_label
_atom_site_type_symbol
_atom_site_fract_x
_atom_site_fract_y
_atom_site_fract_z
Ca1 Ca 0.000 0.000 0.000
Ca2 Ca 0.250 0.000 0.499
Ca3 Ca 0.250 0.500 0.499
Sn1 Sn 0.000 0.500 0.000
Hg1 Hg 0.000 0.247 0.500
Hg2 Hg 0.250 0.247 0.999
```

Properties
calculated density: 8215 kg/m³
total magnetization: 0.00 μB/f.u.
volume: 26.3 A^3/atom

*2* has the most favorable energy; the next structure is 7.3 kJ/mol of atoms above.

*1*
DFT (PBE) results for a relaxed structure of Ca3SnHg.

CIF file:
```
data_Ca3SnHg
_cell_length_a 5.391
_cell_length_b 21.258
_cell_length_c 5.398
_cell_angle_alpha 90.00
_cell_angle_beta 90.00
_cell_angle_gamma 90.00
_symmetry_space_group_name_H-M 'C m c m'
_symmetry_Int_Tables_number 63
_symmetry_space_group_name_Hall '-C 2c 2'
loop_
_atom_site_label
_atom_site_type_symbol
_atom_site_fract_x
_atom_site_fract_y
_atom_site_fract_z
Ca1 Ca 0.000 0.071 0.250
Ca2 Ca 0.000 0.250 0.250
Ca3 Ca 0.000 0.429 0.250
Sn1 Sn 0.000 0.159 0.750
Hg1 Hg 0.000 0.347 0.750
```

Properties
calculated density: 4719 kg/m³
total magnetization: 0.00 μB/f.u.
volume: 30.9 A^3/atom

*2*
DFT (PBE) results for a relaxed structure of Ca3SnHg.

CIF file:
```
data_Ca3SnHg
_cell_length_a 9.396
_cell_length_b 8.369
_cell_length_c 9.137
_cell_angle_alpha 90.00
_cell_angle_beta 118.46
_cell_angle_gamma 90.00
_symmetry_space_group_name_H-M 'P 1 21/c 1'
_symmetry_Int_Tables_number 14
loop_
_symmetry_equiv_pos_as_xyz
'x,y,z'
'-x,-y,-z'
'-x,y+1/2,-z+1/2'
'x,-y+1/2,z+1/2'
loop_
_atom_site_label
_atom_site_type_symbol
_atom_site_fract_x
_atom_site_fract_y
_atom_site_fract_z
Ca1 Ca 0.019 0.014 0.216
Ca2 Ca 0.278 0.122 0.672
Ca3 Ca 0.389 0.731 0.930
Sn1 Sn 0.109 0.709 0.051
Hg1 Hg 0.355 0.027 0.137
```

Properties
calculated density: 4622 kg/m³
total magnetization: 0.00 μB/f.u.
volume: 31.6 A^3/atom

*3*
DFT (PBE) results for a relaxed structure of Ca3SnHg.

CIF file:
```
data_Ca3SnHg
_cell_length_a 5.963
_cell_length_b 5.963
_cell_length_c 5.963
_cell_angle_alpha 90.00
_cell_angle_beta 90.00
_cell_angle_gamma 90.00
_symmetry_space_group_name_H-M 'P m -3 m'
_symmetry_Int_Tables_number 221
_symmetry_space_group_name_Hall '-P 4 2 3'
loop_
_atom_site_label
_atom_site_type_symbol
_atom_site_fract_x
_atom_site_fract_y
_atom_site_fract_z
Ca1 Ca 0.000 0.000 0.500
Sn1 Sn 0.000 0.000 0.000
Hg1 Hg 0.500 0.500 0.500
```

Properties
calculated density: 3443 kg/m³
total magnetization: 0.00 μB/f.u.
volume: 42.4 A^3/atom

*1* has the most favorable energy; the next structure is 3.8 kJ/mol of atoms above.

*1*
DFT (PBE) results for a relaxed structure of Ca3Sn2Hg3.

CIF file:
```
data_Ca3Sn2Hg3
_cell_length_a 19.822
_cell_length_b 4.205
_cell_length_c 5.424
_cell_angle_alpha 90.00
_cell_angle_beta 100.14
_cell_angle_gamma 90.00
_symmetry_space_group_name_H-M 'C 1 2/m 1'
_symmetry_Int_Tables_number 12
loop_
_symmetry_equiv_pos_as_xyz
'x,y,z'
'-x,-y,-z'
'-x,y,-z'
'x,-y,z'
'x+1/2,y+1/2,z'
'-x+1/2,-y+1/2,-z'
'-x+1/2,y+1/2,-z'
'x+1/2,-y+1/2,z'
loop_
_atom_site_label
_atom_site_type_symbol
_atom_site_fract_x
_atom_site_fract_y
_atom_site_fract_z
Ca1 Ca 0.000 0.000 0.000
Ca2 Ca 0.137 0.000 0.586
Sn1 Sn 0.240 0.000 0.185
Hg1 Hg 0.000 0.500 0.500
Hg2 Hg 0.120 0.500 0.069
```

Properties
calculated density: 7160 kg/m³
total magnetization: 0.00 μB/f.u.
volume: 27.8 A^3/atom

*2*
DFT (PBE) results for a relaxed structure of Ca3Sn2Hg3.

CIF file:
```
data_Ca3Sn2Hg3
_cell_length_a 4.662
_cell_length_b 11.623
_cell_length_c 16.422
_cell_angle_alpha 90.00
_cell_angle_beta 90.00
_cell_angle_gamma 90.00
_symmetry_space_group_name_H-M 'C m c m'
_symmetry_Int_Tables_number 63
_symmetry_space_group_name_Hall '-C 2c 2'
loop_
_atom_site_label
_atom_site_type_symbol
_atom_site_fract_x
_atom_site_fract_y
_atom_site_fract_z
Ca1 Ca 0.000 0.077 0.107
Ca2 Ca 0.000 0.350 0.250
Sn1 Sn 0.000 0.213 0.612
Hg1 Hg 0.000 0.382 0.032
Hg2 Hg 0.000 0.382 0.750
```

Properties
calculated density: 7161 kg/m³
total magnetization: 0.00 μB/f.u.
volume: 27.8 A^3/atom

*2* has the most favorable energy; the next structure is 5.0 kJ/mol of atoms above.

*1*
DFT (PBE) results for a relaxed structure of Ca3SnHg3.

CIF file:
```
data_Ca3SnHg3
_cell_length_a 9.2851
_cell_length_b 9.2851
_cell_length_c 5.2359
_cell_angle_alpha 90.00
_cell_angle_beta 90.00
_cell_angle_gamma 120.00
_symmetry_space_group_name_H-M 'P 63/m'
_symmetry_Int_Tables_number 176
_symmetry_space_group_name_Hall '-P 6c'
loop_
_atom_site_label
_atom_site_type_symbol
_atom_site_fract_x
_atom_site_fract_y
_atom_site_fract_z
Ca1 Ca 0.0940 0.6541 0.2500
Sn1 Sn 0.3333 0.6667 0.7500
Hg1 Hg 0.0364 0.8084 0.7500
```

Properties
calculated density: 7142 kg/m³
total magnetization: 0.00 μB/f.u.
volume: 27.9 A^3/atom

*2*
DFT (PBE) results for a relaxed structure of Ca3SnHg3.

CIF file:
```
data_Ca3SnHg3
_cell_length_a 10.474
_cell_length_b 10.624
_cell_length_c 7.217
_cell_angle_alpha 90.00
_cell_angle_beta 90.00
_cell_angle_gamma 90.00
_symmetry_space_group_name_H-M 'C 1 2/m 1'
_symmetry_Int_Tables_number 12
loop_
_symmetry_equiv_pos_as_xyz
'x,y,z'
'-x,-y,-z'
'-x,y,-z'
'x,-y,z'
'x+1/2,y+1/2,z'
'-x+1/2,-y+1/2,-z'
'-x+1/2,y+1/2,-z'
'x+1/2,-y+1/2,z'
loop_
_atom_site_label
_atom_site_type_symbol
_atom_site_fract_x
_atom_site_fract_y
_atom_site_fract_z
Ca1 Ca 0.000 0.000 0.248
Ca2 Ca 0.250 0.250 0.245
Sn1 Sn 0.235 0.500 0.001
Hg1 Hg 0.000 0.284 0.500
Hg2 Hg 0.000 0.322 0.000
Hg3 Hg 0.215 0.500 0.499
```

Properties
calculated density: 6953 kg/m³
total magnetization: 0.00 μB/f.u.
volume: 28.7 A^3/atom

*1* has the most favorable energy; the next structure is 3.7 kJ/mol of atoms above.